(1)
A plane-wave DFT calculation with PBE was carried out for crystalline Ho3TmPb at its relaxed geometry.

Results
Energy relative to the elements: -58.6 meV/atom
Total magnetic moment: 0.00 μB per formula unit
SG: C2/c

Cell lengths 8.431, 8.431, 12.368 Å; angles 96.22, 96.22, 44.96 degrees
Fractional positions:
Ho (0.036, 0.762, 0.176)
Ho (0.039, 0.807, 0.908)
Ho (0.152, 0.415, 0.692)
Ho (0.193, 0.961, 0.592)
Ho (0.238, 0.964, 0.324)
Ho (0.415, 0.152, 0.192)
Ho (0.585, 0.848, 0.808)
Ho (0.762, 0.036, 0.676)
Ho (0.807, 0.039, 0.408)
Ho (0.848, 0.585, 0.308)
Ho (0.961, 0.193, 0.092)
Ho (0.964, 0.238, 0.824)
Tm (0.284, 0.518, 0.448)
Tm (0.482, 0.716, 0.052)
Tm (0.518, 0.284, 0.948)
Tm (0.716, 0.482, 0.552)
Pb (0.000, 0.500, 0.000)
Pb (0.415, 0.585, 0.750)
Pb (0.500, 0.000, 0.500)
Pb (0.585, 0.415, 0.250)


(2)
A plane-wave DFT calculation with PBE was carried out for crystalline Ho2TmPb3 at its relaxed geometry.

Results
Excess energy over the best structure of this formula in the dataset: 0 meV/atom
Energy relative to the elements: -472.5 meV/atom
Total magnetic moment: 0.00 μB per formula unit
SG: C2/c

Cell lengths 8.990, 8.990, 6.367 Å; angles 100.14, 100.14, 41.46 degrees
Fractional positions:
Ho (0.041, 0.292, 0.085)
Ho (0.292, 0.041, 0.585)
Ho (0.708, 0.959, 0.415)
Ho (0.959, 0.708, 0.915)
Tm (0.376, 0.624, 0.750)
Tm (0.624, 0.376, 0.250)
Pb (0.124, 0.876, 0.250)
Pb (0.209, 0.459, 0.417)
Pb (0.459, 0.209, 0.917)
Pb (0.541, 0.791, 0.083)
Pb (0.791, 0.541, 0.583)
Pb (0.876, 0.124, 0.750)


(3)
A plane-wave DFT calculation with PBE was carried out for crystalline Ho6Tm8Pb at its relaxed geometry.

Results
Energy relative to the elements: 192.4 meV/atom
Total magnetic moment: 0.00 μB per formula unit
SG: P-3

Cell lengths 9.108, 9.108, 6.651 Å; angles 90.00, 90.00, 120.00 degrees
Fractional positions:
Ho (0.082, 0.684, 0.401)
Ho (0.316, 0.398, 0.401)
Ho (0.398, 0.082, 0.599)
Ho (0.602, 0.918, 0.401)
Ho (0.684, 0.602, 0.599)
Ho (0.918, 0.316, 0.599)
Tm (0.021, 0.338, 0.104)
Tm (0.317, 0.979, 0.104)
Tm (0.333, 0.667, 0.806)
Tm (0.338, 0.317, 0.896)
Tm (0.662, 0.683, 0.104)
Tm (0.667, 0.333, 0.194)
Tm (0.683, 0.021, 0.896)
Tm (0.979, 0.662, 0.896)
Pb (0.000, 0.000, 0.500)


(4)
A plane-wave DFT calculation with PBE was carried out for crystalline Ho2Tm8Pb at its relaxed geometry.

Results
Energy relative to the elements: -51.8 meV/atom
Total magnetic moment: 0.00 μB per formula unit
SG: C2/m

Cell lengths 9.974, 9.974, 6.341 Å; angles 94.96, 94.96, 31.88 degrees
Fractional positions:
Ho (0.244, 0.244, 0.335)
Ho (0.756, 0.756, 0.665)
Tm (0.046, 0.046, 0.273)
Tm (0.154, 0.154, 0.802)
Tm (0.337, 0.337, 0.876)
Tm (0.421, 0.421, 0.404)
Tm (0.579, 0.579, 0.596)
Tm (0.663, 0.663, 0.124)
Tm (0.846, 0.846, 0.198)
Tm (0.954, 0.954, 0.727)
Pb (0.500, 0.500, 0.000)


(5)
A plane-wave DFT calculation with PBE was carried out for crystalline Ho4TmPb5 at its relaxed geometry.

Results
Energy relative to the elements: -297.4 meV/atom
Total magnetic moment: 0.00 μB per formula unit
SG: I4

Cell lengths 7.670, 7.670, 7.670 Å; angles 99.59, 99.59, 131.81 degrees
Fractional positions:
Ho (0.099, 0.699, 0.799)
Ho (0.301, 0.099, 0.400)
Ho (0.699, 0.901, 0.600)
Ho (0.901, 0.301, 0.201)
Tm (0.496, 0.496, 0.000)
Pb (0.201, 0.400, 0.601)
Pb (0.400, 0.799, 0.198)
Pb (0.600, 0.201, 0.802)
Pb (0.799, 0.600, 0.399)
Pb (0.996, 0.996, 0.000)


(6)
A plane-wave DFT calculation with PBE was carried out for crystalline Ho3TmPb2 at its relaxed geometry.

Results
Energy relative to the elements: -406.2 meV/atom
Total magnetic moment: 0.00 μB per formula unit
SG: Ibam

Cell lengths 9.618, 9.618, 9.618 Å; angles 140.93, 56.44, 140.94 degrees
Fractional positions:
Ho (0.170, 0.250, 0.420)
Ho (0.250, 0.250, 0.000)
Ho (0.330, 0.750, 0.080)
Ho (0.670, 0.250, 0.920)
Ho (0.750, 0.750, 0.000)
Ho (0.830, 0.750, 0.580)
Tm (0.250, 0.750, 0.500)
Tm (0.750, 0.250, 0.500)
Pb (0.142, 0.749, 0.892)
Pb (0.358, 0.249, 0.607)
Pb (0.642, 0.751, 0.393)
Pb (0.858, 0.251, 0.108)


(7)
A plane-wave DFT calculation with PBE was carried out for crystalline HoTm3Pb2 at its relaxed geometry.

Results
Excess energy over the best structure of this formula in the dataset: 0 meV/atom
Energy relative to the elements: -382.6 meV/atom
Total magnetic moment: 0.00 μB per formula unit
SG: P-4m2

Cell lengths 4.526, 4.526, 8.427 Å; angles 90.00, 90.00, 90.00 degrees
Fractional positions:
Ho (0.000, 0.000, 0.000)
Tm (0.000, 0.500, 0.339)
Tm (0.500, 0.000, 0.661)
Tm (0.500, 0.500, 0.000)
Pb (0.000, 0.500, 0.713)
Pb (0.500, 0.000, 0.287)


(8)
A plane-wave DFT calculation with PBE was carried out for crystalline HoTm3Pb12 at its relaxed geometry.

Results
Energy relative to the elements: -232.8 meV/atom
Total magnetic moment: 0.00 μB per formula unit
SG: P4/mmm

Cell lengths 4.902, 4.902, 19.174 Å; angles 90.00, 90.00, 90.00 degrees
Fractional positions:
Ho (0.000, 0.000, 0.000)
Tm (0.000, 0.000, 0.250)
Tm (0.000, 0.000, 0.500)
Tm (0.000, 0.000, 0.750)
Pb (0.000, 0.500, 0.126)
Pb (0.000, 0.500, 0.375)
Pb (0.000, 0.500, 0.625)
Pb (0.000, 0.500, 0.874)
Pb (0.500, 0.000, 0.126)
Pb (0.500, 0.000, 0.375)
Pb (0.500, 0.000, 0.625)
Pb (0.500, 0.000, 0.874)
Pb (0.500, 0.500, 0.000)
Pb (0.500, 0.500, 0.250)
Pb (0.500, 0.500, 0.500)
Pb (0.500, 0.500, 0.750)


(9)
A plane-wave DFT calculation with PBE was carried out for crystalline Ho5Tm5Pb6 at its relaxed geometry.

Results
Energy relative to the elements: -511.2 meV/atom
Total magnetic moment: 0.00 μB per formula unit
SG: Amm2

Cell lengths 6.569, 8.981, 8.981 Å; angles 120.05, 90.00, 90.00 degrees
Fractional positions:
Ho (0.000, 0.000, 0.000)
Ho (0.250, 0.569, 0.902)
Ho (0.250, 0.902, 0.569)
Ho (0.750, 0.569, 0.902)
Ho (0.750, 0.902, 0.569)
Tm (0.000, 0.235, 0.471)
Tm (0.000, 0.471, 0.235)
Tm (0.500, 0.000, 0.236)
Tm (0.500, 0.236, 0.000)
Tm (0.500, 0.470, 0.470)
Pb (0.000, 0.236, 0.841)
Pb (0.000, 0.629, 0.629)
Pb (0.000, 0.841, 0.236)
Pb (0.500, 0.235, 0.629)
Pb (0.500, 0.629, 0.235)
Pb (0.500, 0.842, 0.842)


(10)
A plane-wave DFT calculation with PBE was carried out for crystalline HoTm4Pb5 at its relaxed geometry.

Results
Excess energy over the best structure of this formula in the dataset: 0 meV/atom
Energy relative to the elements: -378.0 meV/atom
Total magnetic moment: 0.00 μB per formula unit
SG: P4/mmm

Cell lengths 3.544, 3.544, 22.036 Å; angles 90.00, 90.00, 90.00 degrees
Fractional positions:
Ho (0.000, 0.000, 0.000)
Tm (0.000, 0.000, 0.201)
Tm (0.000, 0.000, 0.400)
Tm (0.000, 0.000, 0.600)
Tm (0.000, 0.000, 0.799)
Pb (0.500, 0.500, 0.101)
Pb (0.500, 0.500, 0.300)
Pb (0.500, 0.500, 0.500)
Pb (0.500, 0.500, 0.700)
Pb (0.500, 0.500, 0.899)


(11)
A plane-wave DFT calculation with PBE was carried out for crystalline Ho3TmPb4 at its relaxed geometry.

Results
Excess energy over the best structure of this formula in the dataset: 244 meV/atom
Energy relative to the elements: -176.4 meV/atom
Total magnetic moment: 0.00 μB per formula unit
SG: Pmn2_1

Cell lengths 6.751, 11.593, 6.293 Å; angles 90.00, 90.00, 90.00 degrees
Fractional positions:
Ho (0.000, 0.143, 0.000)
Ho (0.249, 0.354, 0.609)
Ho (0.251, 0.646, 0.109)
Ho (0.500, 0.857, 0.500)
Ho (0.749, 0.646, 0.109)
Ho (0.751, 0.354, 0.609)
Tm (0.000, 0.852, 0.724)
Tm (0.500, 0.148, 0.224)
Pb (0.000, 0.109, 0.507)
Pb (0.000, 0.885, 0.219)
Pb (0.247, 0.377, 0.110)
Pb (0.253, 0.623, 0.610)
Pb (0.500, 0.115, 0.719)
Pb (0.500, 0.891, 0.007)
Pb (0.747, 0.623, 0.610)
Pb (0.753, 0.377, 0.110)


(12)
A plane-wave DFT calculation with PBE was carried out for crystalline HoTm2Pb3 at its relaxed geometry.

Results
Excess energy over the best structure of this formula in the dataset: 0 meV/atom
Energy relative to the elements: -423.5 meV/atom
Total magnetic moment: 0.00 μB per formula unit
SG: C2/c

Cell lengths 8.996, 8.996, 6.370 Å; angles 100.00, 100.00, 41.32 degrees
Fractional positions:
Ho (0.119, 0.881, 0.750)
Ho (0.881, 0.119, 0.250)
Tm (0.216, 0.451, 0.407)
Tm (0.451, 0.216, 0.907)
Tm (0.549, 0.784, 0.093)
Tm (0.784, 0.549, 0.593)
Pb (0.057, 0.277, 0.078)
Pb (0.277, 0.057, 0.578)
Pb (0.384, 0.616, 0.250)
Pb (0.616, 0.384, 0.750)
Pb (0.723, 0.943, 0.422)
Pb (0.943, 0.723, 0.922)